# 1
The following is a DFT calculation (GGA-PBE) of a relaxed structure of Zr2AlTc.

The calculation puts the formation energy at -0.20 eV per atom. Its space group is Cmmm, No. 65. As for the uncorrected energy: -8.002 eV/atom.

```
4
Lattice="1.716 -2.501 0.000 1.716 2.501 0.000 0.000 0.000 8.913" Properties=species:S:1:pos:R:3 pbc="T T T"
Zr 0.000 0.000 2.066
Zr 0.000 0.000 6.848
Al 1.716 0.000 4.457
Tc 1.716 0.000 0.000
```

---

# 2
The following is a DFT calculation (GGA-PBE) of a relaxed structure of ZrAl2Tc.

The calculation puts the formation energy at -0.34 eV per atom. Its space group is C2/m, No. 12. As for the uncorrected energy: -6.944 eV/atom. The value obtained for the offset from the most stable computed form is 0.0283 eV/atom.

```
4
Lattice="4.968 -1.665 0.000 4.968 1.665 0.000 -2.033 0.000 4.086" Properties=species:S:1:pos:R:3 pbc="T T T"
Zr 0.000 0.000 0.000
Al 0.833 0.000 2.990
Al 7.069 0.000 1.096
Tc 3.951 0.000 2.043
```